A plane-wave DFT calculation with GGA-PBE was carried out for a relaxed structure of Cs3Ac2YO6.

abc: 6.576 6.576 7.305
angles: 98.55 98.55 120.05
Positions (direct):
Cs 0.164 0.836 0.500
Cs 0.836 0.164 0.500
Cs 0.500 0.500 0.500
Ac 0.333 0.667 0.000
Ac 0.667 0.333 0.000
Y 0.000 0.000 0.000
O 0.943 0.631 0.830
O 0.744 0.744 0.172
O 0.057 0.369 0.170
O 0.631 0.943 0.830
O 0.256 0.256 0.828
O 0.369 0.057 0.170

SG = C2/m, No. 12
formation energy without anion corrections = -2.52 eV/atom

A plane-wave DFT calculation with GGA-PBE was carried out for a relaxed structure of Ac2TlHg.

abc: 4.062 4.062 8.296
angles: 90.00 90.00 90.00
Positions (direct):
Ac 0.000 0.000 0.757
Ac 0.000 0.000 0.243
Tl 0.500 0.500 0.500
Hg 0.500 0.500 0.000

SG = P4/mmm, No. 123
energy of formation from the pure elements = -0.41 eV per atom

A plane-wave DFT calculation with GGA-PBE was carried out for a relaxed structure of Sm2AgBr8.

abc: 5.709 12.856 12.856
angles: 30.02 106.99 106.99
Positions (direct):
Sm 0.388 0.169 0.169
Sm 0.612 0.831 0.831
Ag 0.000 0.000 0.000
Br 0.743 0.186 0.668
Br 0.257 0.332 0.814
Br 0.895 0.174 0.174
Br 0.105 0.826 0.826
Br 0.743 0.668 0.186
Br 0.257 0.814 0.332
Br 0.546 0.290 0.290
Br 0.454 0.710 0.710

SG = C2/m, No. 12
formation energy without anion corrections = -1.33 eV/atom

A plane-wave DFT calculation with GGA-PBE was carried out for a relaxed structure of PmPuAlSi.

abc: 5.073 5.073 5.073
angles: 60.00 60.00 60.00
Positions (direct):
Si 0.250 0.250 0.250
Pm 0.500 0.500 0.500
Al 0.750 0.750 0.750
Pu 0.000 0.000 0.000

SG = F-43m, No. 216
formation energy without anion corrections = -0.24 eV/atom

A plane-wave DFT calculation with GGA-PBE was carried out for a relaxed structure of K3Sn2S3BrO12.

abc: 7.787 10.320 10.474
angles: 61.03 90.00 90.00
Positions (direct):
K 0.983 0.320 0.331
K 0.497 0.327 0.338
K 0.715 0.011 0.741
K 0.215 0.989 0.259
K 0.483 0.680 0.669
K 0.997 0.673 0.662
Sn 0.194 0.725 0.013
Sn 0.186 0.240 0.738
Sn 0.686 0.760 0.262
Sn 0.694 0.275 0.987
S 0.252 0.592 0.374
S 0.260 0.394 0.022
S 0.231 0.046 0.595
S 0.731 0.954 0.405
S 0.760 0.606 0.978
S 0.752 0.408 0.626
Br 0.993 0.002 0.981
Br 0.493 0.998 0.019
O 0.118 0.648 0.253
O 0.426 0.623 0.301
O 0.230 0.429 0.464
O 0.733 0.331 0.540
O 0.752 0.495 0.134
O 0.245 0.471 0.114
O 0.073 0.115 0.629
O 0.381 0.097 0.648
O 0.434 0.318 0.059
O 0.239 0.106 0.435
O 0.124 0.282 0.066
O 0.715 0.117 0.328
O 0.215 0.883 0.672
O 0.624 0.718 0.934
O 0.739 0.894 0.565
O 0.934 0.682 0.941
O 0.881 0.903 0.352
O 0.573 0.885 0.371
O 0.745 0.529 0.886
O 0.252 0.505 0.866
O 0.233 0.669 0.460
O 0.730 0.571 0.536
O 0.926 0.377 0.699
O 0.618 0.352 0.747

SG = P2_1, No. 4
formation energy without anion corrections = -1.60 eV/atom

A plane-wave DFT calculation with GGA-PBE was carried out for a relaxed structure of NaCu2O.

abc: 6.075 6.075 6.093
angles: 60.09 60.09 90.00
Positions (direct):
Na 0.000 0.000 0.000
Na 0.750 0.250 0.500
O 0.500 0.500 0.000
O 0.250 0.750 0.500
Cu 0.375 0.125 0.250
Cu 0.375 0.625 0.250
Cu 0.375 0.625 0.750
Cu 0.875 0.625 0.750

SG = I4_1/amd, No. 141
formation energy without anion corrections = -0.25 eV/atom

A plane-wave DFT calculation with GGA-PBE was carried out for a relaxed structure of LaBe2As.

abc: 4.724 4.726 4.727
angles: 119.90 119.89 90.16
Positions (direct):
Be 0.000 0.000 0.000
Be 0.250 0.750 0.500
As 0.750 0.250 0.500
La 0.500 0.500 0.000

SG = I-4m2, No. 119
energy of formation from the pure elements = 0.23 eV per atom

A plane-wave DFT calculation with GGA-PBE was carried out for a relaxed structure of ErTc2PbO8.

abc: 5.951 5.951 7.079
angles: 90.00 90.00 120.00
Positions (direct):
Er 0.000 0.000 0.500
Tc 0.667 0.333 0.218
Tc 0.333 0.667 0.782
Pb 0.000 0.000 0.000
O 0.333 0.667 0.031
O 0.327 0.163 0.294
O 0.837 0.164 0.294
O 0.667 0.333 0.969
O 0.163 0.836 0.706
O 0.673 0.837 0.706
O 0.164 0.327 0.706
O 0.836 0.673 0.294

SG = P-3m1, No. 164
formation energy without anion corrections = -1.71 eV/atom

| no. | volume (Å³ per cell) | ρ (g cm⁻³) | spin magnetization (μB/f.u.) |
| --- | --- | --- | --- |
| 1 | 261.02 | 6.6 | 0.00 |
| 2 | 136.89 | 10.4 | 0.02 |
| 3 | 449.97 | 3.9 | 0.00 |
| 4 | 92.32 | 8.0 | 5.61 |
| 5 | 736.45 | 3.3 | 0.00 |
| 6 | 159.46 | 3.5 | 0.00 |
| 7 | 74.76 | 5.1 | 0.00 |
| 8 | 217.13 | 5.3 | 3.01 |